Compound: MgAg2Br2
Source: the Open Quantum Materials Database
Functional: PBE
Structure: optimized geometry

Results
The calculation puts the total DFT energy (no corrections) at -2.55 eV per atom. As for the calculated density: 4.8 g cm⁻³.

Cell: 6.2886 6.2886 11.7958 Å, 90.00 90.00 143.96°
Atoms (fractional coordinates):
Br  0.3792  0.6208  0.9123
Br  0.6208  0.3792  0.0877
Br  0.6208  0.3792  0.4123
Br  0.3792  0.6208  0.5877
Ag  0.3896  0.6104  0.1382
Ag  0.6104  0.3896  0.6382
Ag  0.3896  0.6104  0.3618
Ag  0.6104  0.3896  0.8618
Mg  0.7592  0.2408  0.2500
Mg  0.2408  0.7592  0.7500

Compound: Rb2MgAgBr6
Source: the Open Quantum Materials Database
Functional: PBE
Structure: optimized geometry

Results
The calculation puts the total DFT energy (no corrections) at -2.80 eV per atom. As for the calculated density: 4.1 g cm⁻³.

Cell: 7.5445 7.5445 7.5445 Å, 62.14 62.14 62.14°
Atoms (fractional coordinates):
Br  0.2486  0.6971  0.8109
Br  0.1890  0.7513  0.3021
Br  0.7513  0.3021  0.1890
Br  0.8109  0.2486  0.6971
Br  0.3021  0.1890  0.7513
Br  0.6971  0.8109  0.2486
Rb  0.7509  0.7509  0.7509
Rb  0.2488  0.2488  0.2488
Ag  0.4997  0.4997  0.4997
Mg  0.9997  0.9997  0.9997

Compound: Rb2MgAgBr6
Source: the Open Quantum Materials Database
Functional: PBE
Structure: optimized geometry

Results
The calculation puts the total DFT energy (no corrections) at -2.80 eV per atom. As for the calculated density: 4.1 g cm⁻³.

Cell: 7.6697 7.6697 7.6697 Å, 120.00 120.00 90.01°
Atoms (fractional coordinates):
Br  0.7536  0.7536  0.5073
Br  0.7536  0.2464  0.0000
Br  0.2464  0.2464  0.4927
Br  0.7535  0.7535  0.0000
Br  0.2465  0.2465  0.0000
Br  0.2464  0.7536  0.0000
Mg  0.0000  0.0000  0.0000
Rb  0.2500  0.7500  0.5000
Rb  0.7500  0.2500  0.5000
Ag  0.5000  0.5000  0.0000

Compound: Rb2MgAgBr6
Source: the Open Quantum Materials Database
Functional: PBE
Structure: optimized geometry

Results
The calculation puts the total DFT energy (no corrections) at -2.80 eV per atom. As for the calculated density: 4.1 g cm⁻³.

Cell: 7.5601 7.5601 7.8757 Å, 120.53 120.53 59.96°
Atoms (fractional coordinates):
Rb  0.2473  0.2473  0.7451
Rb  0.7527  0.7527  0.2549
Br  0.2243  0.7102  0.7115
Br  0.2500  0.2500  0.1848
Br  0.7102  0.2243  0.7115
Br  0.7500  0.7500  0.8152
Br  0.7757  0.2898  0.2885
Br  0.2898  0.7757  0.2885
Ag  0.0000  0.0000  0.0000
Mg  0.5000  0.5000  0.5000

Compound: AgMoBr
Source: the Open Quantum Materials Database
Functional: PBE
Structure: optimized geometry

Results
The calculation puts the total DFT energy (no corrections) at -3.98 eV per atom. As for the calculated density: 7.1 g cm⁻³.

Cell: 4.4985 4.4985 11.3870 Å, 90.00 90.00 120.00°
Last column: magnetic moment on the atom in μB.
Atoms (fractional coordinates):
Ag  0.6667  0.3333  0.6362  0.02
Ag  0.6667  0.3333  0.3638  0.02
Ag  0.0000  0.0000  0.0000  0.14
Mo  0.6667  0.3333  0.0000  2.94
Mo  0.0000  0.0000  0.7661  1.91
Mo  0.0000  0.0000  0.2339  1.91
Br  0.3333  0.6667  0.1846  0.02
Br  0.3333  0.6667  0.8154  0.02
Br  0.3333  0.6667  0.5000  0.01

Compound: AgMo6Br13
Source: the Open Quantum Materials Database
Functional: PBE
Structure: optimized geometry

Results
The calculation puts the total DFT energy (no corrections) at -5.11 eV per atom. As for the calculated density: 4.9 g cm⁻³.

Cell: 9.4469 9.6224 14.6635 Å, 96.17 103.01 112.81°
Atoms (fractional coordinates):
Br  0.7517  0.5192  0.0580
Br  0.8443  0.7430  0.6381
Br  0.1573  0.8069  0.0286
Br  0.5341  0.7962  0.1555
Br  0.0679  0.2179  0.5910
Br  0.4659  0.2038  0.8445
Br  0.6064  0.9471  0.7087
Br  0.7454  0.2240  0.2009
Br  0.8220  0.4026  0.7369
Br  0.2546  0.7760  0.7991
Br  0.1557  0.2570  0.3619
Br  0.9560  0.9751  0.1535
Br  0.1780  0.5974  0.2631
Br  0.2307  0.6117  0.5306
Br  0.5815  0.8358  0.4516
Br  0.7693  0.3883  0.4694
Br  0.6416  0.7703  0.9282
Br  0.5102  0.4841  0.2827
Br  0.4898  0.5159  0.7173
Br  0.4185  0.1642  0.5484
Br  0.8427  0.1931  0.9714
Br  0.3936  0.0529  0.2913
Br  0.2483  0.4808  0.9420
Br  0.9321  0.7821  0.4090
Br  0.3584  0.2297  0.0718
Br  0.0440  0.0249  0.8465
Mo  0.5505  0.9830  0.8837
Mo  0.6335  0.4535  0.5951
Mo  0.6921  0.9936  0.0644
Mo  0.5383  0.6784  0.5862
Mo  0.3079  0.0064  0.9356
Mo  0.3224  0.3861  0.5397
Mo  0.3665  0.5465  0.4049
Mo  0.6048  0.2155  0.0232
Mo  0.3952  0.7845  0.9768
Mo  0.4617  0.3216  0.4138
Mo  0.6776  0.6139  0.4603
Mo  0.4495  0.0170  0.1163
Ag  0.0585  0.2887  0.7702
Ag  0.9415  0.7113  0.2298

Compound: NbTl2AgBr6
Source: the Open Quantum Materials Database
Functional: PBE
Structure: optimized geometry

Results
The calculation puts the total DFT energy (no corrections) at -3.42 eV per atom. As for the calculated density: 5.6 g cm⁻³.

Cell: 7.6812 7.6812 7.6812 Å, 60.00 60.00 60.00°
Last column: magnetic moment on the atom in μB.
Atoms (fractional coordinates):
Br  0.7424  0.2576  0.7424  0.00
Br  0.7424  0.7424  0.2576  -0.01
Br  0.2576  0.2576  0.7424  -0.01
Br  0.2576  0.7424  0.7424  0.00
Br  0.7424  0.2576  0.2576  0.00
Br  0.2576  0.7424  0.2576  0.00
Tl  0.7500  0.7500  0.7500  0.01
Tl  0.2500  0.2500  0.2500  0.01
Nb  0.5000  0.5000  0.5000  1.62
Ag  0.0000  0.0000  0.0000  0.00

Compound: Nd2AgBr6
Source: the Open Quantum Materials Database
Functional: PBE
Structure: optimized geometry

Results
The calculation puts the total DFT energy (no corrections) at -3.88 eV per atom. As for the calculated density: 5.3 g cm⁻³.

Cell: 10.7435 6.9898 7.3583 Å, 90.00 90.94 90.00°
Last column: magnetic moment on the atom in μB.
Atoms (fractional coordinates):
Nd  0.2949  0.0531  0.1300  0.25
Nd  0.7051  0.9469  0.8700  0.25
Nd  0.7051  0.5531  0.3700  0.25
Nd  0.2949  0.4469  0.6300  0.25
Br  0.7627  0.1796  0.5454  0.00
Br  0.2373  0.6796  0.9546  0.00
Br  0.2373  0.8204  0.4546  0.00
Br  0.4530  0.1511  0.8142  0.00
Br  0.4530  0.3489  0.3142  0.00
Br  0.1156  0.1847  0.8341  0.00
Br  0.5470  0.6511  0.6858  0.00
Br  0.8844  0.6847  0.6659  0.00
Br  0.7627  0.3204  0.0454  0.00
Br  0.1156  0.3153  0.3341  0.00
Br  0.5470  0.8489  0.1858  0.00
Br  0.8844  0.8153  0.1659  0.00
Ag  0.0000  0.0000  0.5000  0.02
Ag  0.0000  0.5000  0.0000  0.02